(1)
Material: Li2GdMg
Method: DFT, PBE
State: relaxed

Properties
Energy of formation from the pure elements, eV per atom: 0.054
Calculated volume, Å³ per atom: 23.13
Magnetization, Bohr magnetons per cell: 31.9
Relative energy among the computed polymorphs, meV/atom: 2

Unit cell a=7.1799 b=7.1799 c=7.1799 alpha=90.00 beta=90.00 gamma=90.00
With the nearest neighbours (Å) after each atom.
Space group Fm-3m (No. 225)
Asymmetric unit:
Li  0.2500  0.2500  0.2500 x8  4 Gd 3.11, 4 Mg 3.11
Gd  0.0000  0.0000  0.0000 x4  8 Li 3.11
Mg  0.0000  0.0000  0.5000 x4  8 Li 3.11

***

(2)
Material: La2PrYTm
Method: DFT, PBE
State: relaxed

Properties
Energy of formation from the pure elements, eV per atom: 0.321
Calculated volume, Å³ per atom: 36.75
Magnetization, Bohr magnetons per cell: 0.0

Unit cell a=11.1174 b=9.5594 c=6.9167 alpha=90.00 beta=90.00 gamma=90.00
With the nearest neighbours (Å) after each atom.
Space group Cmcm (No. 63)
Asymmetric unit:
La  0.2486  0.0000  0.0000 x8  2 Tm 3.36, 2 Pr 3.43, 2 La 3.46
Pr  0.0000  0.3962  0.2500 x4  1 Tm 2.97
Y  0.0000  0.2472  0.7500 x4  1 Tm 3.18, 1 Pr 3.41
Tm  0.0000  0.0857  0.2500 x4  1 Pr 2.97, 1 Y 3.18

***

(3)
Material: Tb2Dy3Ag2
Method: DFT, PBE
State: relaxed

Properties
Energy of formation from the pure elements, eV per atom: -0.169
Calculated volume, Å³ per atom: 27.48
Magnetization, Bohr magnetons per cell: 0.0
Relative energy among the computed polymorphs, meV/atom: 0

Unit cell a=3.5996 b=3.5996 c=29.6879 alpha=90.00 beta=90.00 gamma=90.00
With the nearest neighbours (Å) after each atom.
Space group I4/mmm (No. 139)
Asymmetric unit:
Tb  0.0000  0.0000  0.2084 x4  8 Tb 3.55-3.60, 4 Dy 3.57
Dy  0.0000  0.0000  0.3760 x4  4 Ag 3.14
Dy  0.0000  0.0000  0.5000 x2  8 Ag 3.14
Ag  0.0000  0.0000  0.0619 x4  8 Dy 3.14

***

> Number 1 is which compound?

Li2GdMg

***

> What is the magnetization in the second record?

0.0 Bohr magnetons per cell